A relaxed structure of EuCrBr2, computed with GGA-PBE.

Properties
ΔE_f (raw)	-54.3	kJ/mol of atoms
volume	70.0	Å³/atom
symmetry	R-3m

Cell lengths 4.2075, 4.2075, 18.4217 Å; angles 83.44, 83.44, 60.00 degrees
Last column: nearest neighbours and their distance in Å.
Fractional positions:
Eu 0.0000 0.0000 0.0000  6 Br 2.99
Br 0.3652 0.3652 0.9043  3 Eu 2.99
Cr 0.5000 0.5000 0.5000  6 Cr 4.21
Br 0.6348 0.6348 0.0957  3 Eu 2.99